[1]
# Re2Tc | the Alexandria database | SCAN | single point on PBEsol structure
# ρ: 18.09 g cm⁻³
data_Re2Tc
_space_group_name_H-M_alt 'P 1'
_space_group_IT_number 1
_space_group_name_Hall 'P 1'
_cell_length_a 2.743
_cell_length_b 5.199
_cell_length_c 6.487
_cell_angle_alpha 104.15
_cell_angle_beta 89.94
_cell_angle_gamma 105.25
loop_
_atom_site_label
_atom_site_fract_x
_atom_site_fract_y
_atom_site_fract_z
Re1 0.001 0.001 0.998
Re2 0.389 0.778 0.279
Re3 0.667 0.333 0.334
Re4 0.333 0.666 0.667
Tc1 0.056 0.112 0.611
Tc2 0.721 0.443 0.944



[2]
# Re2Tc | the Alexandria database | SCAN | single point on PBEsol structure
# ρ: 18.02 g cm⁻³
data_Re2Tc
_space_group_name_H-M_alt 'P 1'
_space_group_IT_number 1
_space_group_name_Hall 'P 1'
_cell_length_a 3.870
_cell_length_b 3.865
_cell_length_c 6.110
_cell_angle_alpha 71.55
_cell_angle_beta 90.00
_cell_angle_gamma 90.00
loop_
_atom_site_label
_atom_site_fract_x
_atom_site_fract_y
_atom_site_fract_z
Re1 0.750 0.083 0.834
Re2 0.250 0.917 0.166
Re3 0.750 0.750 0.501
Re4 0.250 0.250 0.499
Tc1 0.750 0.417 0.165
Tc2 0.250 0.583 0.835



[3]
# ReTc3 | the Alexandria database | SCAN | single point on PBEsol structure
# ρ: 14.06 g cm⁻³
data_ReTc3
_space_group_name_H-M_alt 'P 1'
_space_group_IT_number 1
_space_group_name_Hall 'P 1'
_cell_length_a 2.712
_cell_length_b 3.842
_cell_length_c 5.445
_cell_angle_alpha 90.00
_cell_angle_beta 90.00
_cell_angle_gamma 90.00
loop_
_atom_site_label
_atom_site_fract_x
_atom_site_fract_y
_atom_site_fract_z
Re1 0.000 0.000 0.000
Tc1 0.500 0.500 0.748
Tc2 0.000 0.000 0.500
Tc3 0.500 0.500 0.252



[4]
# ReTc3 | the Alexandria database | SCAN | single point on PBEsol structure
# ρ: 14.05 g cm⁻³
data_ReTc3
_space_group_name_H-M_alt 'P 1'
_space_group_IT_number 1
_space_group_name_Hall 'P 1'
_cell_length_a 3.843
_cell_length_b 3.843
_cell_length_c 3.843
_cell_angle_alpha 90.00
_cell_angle_beta 90.00
_cell_angle_gamma 90.00
loop_
_atom_site_label
_atom_site_fract_x
_atom_site_fract_y
_atom_site_fract_z
Re1 0.000 0.000 0.000
Tc1 0.000 0.500 0.500
Tc2 0.500 0.000 0.500
Tc3 0.500 0.500 0.000



[5]
# ReTc2 | the Alexandria database | SCAN | single point on PBEsol structure
# ρ: 14.86 g cm⁻³
data_ReTc2
_space_group_name_H-M_alt 'P 1'
_space_group_IT_number 1
_space_group_name_Hall 'P 1'
_cell_length_a 3.847
_cell_length_b 3.846
_cell_length_c 6.083
_cell_angle_alpha 90.00
_cell_angle_beta 108.39
_cell_angle_gamma 90.00
loop_
_atom_site_label
_atom_site_fract_x
_atom_site_fract_y
_atom_site_fract_z
Re1 0.916 0.750 0.832
Re2 0.084 0.250 0.168
Tc1 0.584 0.750 0.168
Tc2 0.416 0.250 0.832
Tc3 0.250 0.750 0.500
Tc4 0.750 0.250 0.500



[6]
# Re17Tc12 | the Alexandria database | SCAN | single point on PBEsol structure
# ρ: 17.14 g cm⁻³
data_Re17Tc12
_space_group_name_H-M_alt 'P 1'
_space_group_IT_number 1
_space_group_name_Hall 'P 1'
_cell_length_a 8.176
_cell_length_b 8.176
_cell_length_c 8.176
_cell_angle_alpha 109.47
_cell_angle_beta 109.47
_cell_angle_gamma 109.47
loop_
_atom_site_label
_atom_site_fract_x
_atom_site_fract_y
_atom_site_fract_z
Re1 0.714 0.398 0.398
Re2 0.286 0.684 0.684
Re3 0.000 0.316 0.602
Re4 0.000 0.602 0.316
Re5 0.398 0.714 0.398
Re6 0.684 0.286 0.684
Re7 0.602 0.000 0.316
Re8 0.316 0.000 0.602
Re9 0.398 0.398 0.714
Re10 0.684 0.684 0.286
Re11 0.316 0.602 0.000
Re12 0.602 0.316 0.000
Re13 0.640 0.640 0.640
Re14 0.360 0.000 0.000
Re15 0.000 0.000 0.360
Re16 0.000 0.360 0.000
Re17 0.000 0.000 0.000
Tc1 0.179 0.370 0.370
Tc2 0.821 0.191 0.191
Tc3 0.000 0.809 0.630
Tc4 0.000 0.630 0.809
Tc5 0.370 0.179 0.370
Tc6 0.191 0.821 0.191
Tc7 0.630 0.000 0.809
Tc8 0.809 0.000 0.630
Tc9 0.370 0.370 0.179
Tc10 0.191 0.191 0.821
Tc11 0.809 0.630 0.000
Tc12 0.630 0.809 0.000



no.,electronic total energy (eV per cell)
1,-354.56
2,-354.27
3,-176.07
4,-176.08
5,-282.17
6,-1629.73